Material: Cs2TmAs2S6
Method: DFT, PBE
State: optimized geometry

Calculated values
E_tot ... -49.3 eV for the cell shown
SG ... C2/m, No. 12
Total magnetic moment ... 0.00 Bohr magnetons per cell

Structure (POSCAR):
```
Cs2TmAs2S6
1.0
-5.723 3.098 2.992
3.376 -5.312 3.384
4.171 7.489 0.223
Cs Tm As S
2 1 2 6
direct
0.709 0.419 0.186
0.291 0.581 0.814
0.500 0.000 0.500
0.943 0.886 0.802
0.057 0.114 0.198
0.742 0.483 0.613
0.221 0.933 0.237
0.288 0.067 0.763
0.779 0.067 0.763
0.712 0.933 0.237
0.258 0.517 0.387
```



Material: Cs2UAsS5
Method: DFT, PBE
State: optimized geometry

Calculated values
E_tot ... -94.4 eV for the cell shown
SG ... Cmc2_1, No. 36
Total magnetic moment ... 2.00 Bohr magnetons per cell

Structure (POSCAR):
```
Cs2UAsS5
1.0
-0.069 2.314 3.590
-0.667 -9.211 3.382
15.212 -0.803 0.811
Cs U As S
4 2 2 10
direct
0.862 0.724 0.814
0.105 0.210 0.656
0.138 0.276 0.314
0.895 0.790 0.156
0.801 0.601 0.532
0.199 0.399 0.032
0.553 0.106 0.933
0.447 0.894 0.433
0.324 0.648 0.993
0.675 0.350 0.916
0.512 0.024 0.800
0.289 0.579 0.638
0.934 0.868 0.542
0.676 0.352 0.493
0.325 0.650 0.416
0.488 0.976 0.300
0.711 0.421 0.138
0.066 0.132 0.042
```



Material: CsUAsS6
Method: DFT, PBE
State: optimized geometry

Calculated values
E_tot ... -46.7 eV for the cell shown
SG ... P312, No. 149
Total magnetic moment ... 0.00 Bohr magnetons per cell

Structure (POSCAR):
```
CsUAsS6
1.0
6.336 0.001 0.000
3.169 5.487 0.000
0.001 -0.001 8.329
Cs U As S
1 1 1 6
direct
0.000 0.000 0.000
0.667 0.667 0.500
0.333 0.333 0.500
0.018 0.355 0.325
0.355 0.018 0.675
0.627 0.355 0.675
0.018 0.628 0.675
0.355 0.627 0.325
0.627 0.018 0.325
```



Material: Cs2UAs2S6
Method: DFT, PBE
State: optimized geometry

Calculated values
E_tot ... -56.5 eV for the cell shown
SG ... C2/m, No. 12
Total magnetic moment ... 0.00 Bohr magnetons per cell

Structure (POSCAR):
```
Cs2UAs2S6
1.0
7.040 0.000 0.000
-3.520 8.364 0.766
0.000 -4.141 5.876
Cs U As S
2 1 2 6
direct
0.754 0.507 0.228
0.246 0.493 0.772
0.500 0.000 0.500
0.971 0.941 0.799
0.029 0.059 0.201
0.656 0.312 0.568
0.175 0.873 0.188
0.302 0.127 0.812
0.825 0.127 0.812
0.698 0.873 0.188
0.344 0.688 0.432
```



Material: CsUAsS4
Method: DFT, PBE
State: optimized geometry

Calculated values
E_tot ... -37.0 eV for the cell shown
SG ... F-43m, No. 216
Total magnetic moment ... 2.00 Bohr magnetons per cell

Structure (POSCAR):
```
CsUAsS4
1.0
8.068 0.000 0.000
4.034 6.987 0.000
4.034 2.329 6.587
Cs U As S
1 1 1 4
direct
0.750 0.750 0.750
0.500 0.500 0.500
0.250 0.250 0.250
0.373 0.373 0.881
0.373 0.373 0.373
0.373 0.881 0.373
0.881 0.373 0.373
```



Material: Cs2YAsS4
Method: DFT, PBE
State: optimized geometry

Calculated values
E_tot ... -75.5 eV for the cell shown
SG ... Fddd, No. 70
Total magnetic moment ... 0.00 Bohr magnetons per cell

Structure (POSCAR):
```
Cs2YAsS4
1.0
-1.547 -4.515 -4.694
0.267 -7.696 2.541
-13.055 -1.566 1.036
Cs Y As S
4 2 2 8
direct
0.180 0.000 0.639
0.820 0.000 0.361
0.570 0.500 0.861
0.930 0.500 0.139
0.750 0.500 0.500
0.000 0.000 0.000
0.250 0.500 0.500
0.500 0.000 0.000
0.305 0.810 0.100
0.215 0.190 0.900
0.885 0.810 0.900
0.594 0.190 0.100
0.445 0.690 0.400
0.535 0.310 0.600
0.865 0.690 0.600
0.156 0.310 0.400
```